## Li6PaPd12 (PBE)

Data for a geometry-optimized Li6PaPd12 structure.

The value obtained for the total magnetic moment is 0.00 μB/f.u. For the density, the calculation gives 8796 kg/m3. As for the crystal system: trigonal. The total DFT energy (no corrections) comes out at -4.864 eV per atom.

The structure belongs to space group R-3 (No. 148, hexagonal axes); the cell edges are 12.1390, 12.1390 and 6.8775 Å and the angles 90.00°, 90.00° and 120.00°. Symmetry generates all atoms from Li at (0.0332, 0.7609, 0.3245), Pa at (0.0000, 0.0000, 0.0000), Pd at (0.0179, 0.8746, 0.6642) and Pd at (0.0669, 0.4995, 0.6665).


## CsKNa6 (PBE)

Data for a geometry-optimized CsKNa6 structure.

The value obtained for the total magnetic moment is 0.00 μB/f.u. For the density, the calculation gives 1267 kg/m3. As for the crystal system: orthorhombic. The total DFT energy (no corrections) comes out at -1.197 eV per atom.

The structure belongs to space group Pmm2 (No. 25); the cell edges are 6.042, 8.696 and 7.729 Å and the angles 90.00°, 90.00° and 90.00°. Symmetry generates all atoms from Cs at (0.000, 0.000, 0.000), K at (0.500, 0.500, 0.262), Na at (0.000, 0.257, 0.496), Na at (0.000, 0.500, 0.899), Na at (0.500, 0.000, 0.441) and Na at (0.500, 0.296, 0.758).


## CeSm2Bi2N2 (PBE)

Data for a geometry-optimized CeSm2Bi2N2 structure.

The value obtained for the total magnetic moment is 0.00 μB/f.u. For the density, the calculation gives 8933 kg/m3. As for the crystal system: tetragonal. The total DFT energy (no corrections) comes out at -6.572 eV per atom. Its uncorrected formation energy is -0.89 eV per atom.

The structure belongs to space group I4/mmm (No. 139); the cell edges are 4.514, 4.514 and 16.179 Å and the angles 90.00°, 90.00° and 90.00°. Symmetry generates all atoms from Ce at (0.000, 0.000, 0.000), Sm at (0.000, 0.000, 0.401), Bi at (0.000, 0.000, 0.206) and N at (0.000, 0.500, 0.000).


## Ca2Ag2PO6 (PBE)

Data for a geometry-optimized Ca2Ag2PO6 structure.

The value obtained for the total magnetic moment is 0.00 μB/f.u. For the density, the calculation gives 4359 kg/m3. As for the crystal system: monoclinic. The total DFT energy (no corrections) comes out at -5.781 eV per atom. Its uncorrected formation energy is -1.70 eV per atom.

The structure belongs to space group C2/m (No. 12); the cell edges are 5.679, 9.864 and 5.759 Å and the angles 90.00°, 93.23° and 90.00°. Symmetry generates all atoms from Ca at (0.000, 0.164, 0.000), Ag at (0.000, 0.359, 0.500), P at (0.000, 0.500, 0.000), O at (0.141, 0.370, 0.170) and O at (0.236, 0.500, 0.832).


## Pm8Ag2Ir3 (PBE)

Data for a geometry-optimized Pm8Ag2Ir3 structure.

The value obtained for the total magnetic moment is 0.00 μB/f.u. For the density, the calculation gives 8783 kg/m3. As for the crystal system: monoclinic. The total DFT energy (no corrections) comes out at -5.773 eV per atom.

The structure belongs to space group P2/m (No. 10); the cell edges are 8.942, 4.948 and 8.952 Å and the angles 90.00°, 111.26° and 90.00°. Symmetry generates all atoms from Pm at (0.114, 0.000, 0.388), Pm at (0.139, 0.500, 0.868), Pm at (0.370, 0.500, 0.640), Pm at (0.384, 0.000, 0.115), Ag at (0.243, 0.500, 0.257), Ir at (0.244, 0.000, 0.744) and Ir at (0.500, 0.500, 0.000).


## ZrZnBS2 (PBE)

Data for a geometry-optimized ZrZnBS2 structure.

The value obtained for the total magnetic moment is 0.00 μB/f.u. For the density, the calculation gives 3327 kg/m3. As for the crystal system: tetragonal. The total DFT energy (no corrections) comes out at -4.583 eV per atom. Its uncorrected formation energy is 0.37 eV per atom.

The structure belongs to space group P4/mmm (No. 123); the cell edges are 4.986, 4.986 and 4.649 Å and the angles 90.00°, 90.00° and 90.00°. Symmetry generates all atoms from Zr at (0.000, 0.000, 0.000), Zn at (0.500, 0.500, 0.500), B at (0.000, 0.000, 0.500) and S at (0.000, 0.500, 0.000).


## SmDy6Y3 (PBE)

Data for a geometry-optimized SmDy6Y3 structure.

The value obtained for the total magnetic moment is 0.00 μB/f.u. For the density, the calculation gives 7113 kg/m3. As for the crystal system: orthorhombic. The total DFT energy (no corrections) comes out at -5.031 eV per atom.

The structure belongs to space group Cmc2_1 (No. 36); the cell edges are 11.078, 19.021 and 6.169 Å and the angles 90.00°, 90.00° and 90.00°. Symmetry generates all atoms from Sm at (0.000, 0.207, 0.000), Dy at (0.000, 0.047, 0.778), Dy at (0.000, 0.283, 0.493), Dy at (0.165, 0.453, 0.385), Dy at (0.249, 0.289, 0.221), Y at (0.000, 0.390, 0.923) and Y at (0.171, 0.109, 0.314).


## ScTa2Rh (PBE)

Data for a geometry-optimized ScTa2Rh structure.

The value obtained for the total magnetic moment is 0.00 μB/f.u. For the density, the calculation gives 12266 kg/m3. As for the crystal system: cubic. The total DFT energy (no corrections) comes out at -9.323 eV per atom.

The structure belongs to space group Fm-3m (No. 225); the cell edges are 6.511, 6.511 and 6.511 Å and the angles 90.00°, 90.00° and 90.00°. Symmetry generates all atoms from Sc at (0.000, 0.000, 0.000), Ta at (0.250, 0.250, 0.250) and Rh at (0.000, 0.000, 0.500).


Q: Among the records above, which one has the lowest total DFT energy (no corrections)?
A: ScTa2Rh